[1]
VASP calculation (PBE-GGA) on an optimized crystal structure of Li2Ga12Ag.

Cell: 5.8445 5.8445 17.0228 Å, 90.00 90.00 90.00°
With the nearest neighbours (Å) after each atom.
Element x y z (fractional)
1 Li 0.2500 0.7500 0.2261  10 Ga 3.10-3.19
2 Li 0.2500 0.7500 0.7739  10 Ga 3.10-3.19
3 Li 0.7500 0.2500 0.2261  10 Ga 3.10-3.19
4 Li 0.7500 0.2500 0.7739  10 Ga 3.10-3.19
5 Ga 0.9999 0.0001 0.3966  6 Ga 2.62-2.92, 2 Ag 2.71
6 Ga 0.0001 0.9999 0.6034  6 Ga 2.62-2.92, 2 Ag 2.71
7 Ga 0.0001 0.5001 0.3966  6 Ga 2.62-2.92, 2 Ag 2.71
8 Ga 0.9999 0.4999 0.6034  6 Ga 2.62-2.92, 2 Ag 2.71
9 Ga 0.0632 0.5632 0.0684  3 Ga 2.55-2.62
10 Ga 0.0632 0.9368 0.9316  3 Ga 2.55-2.62
11 Ga 0.2500 0.2500 0.1575  5 Ga 2.45-2.62
12 Ga 0.2500 0.2500 0.3016  5 Ga 2.45-2.62
13 Ga 0.2500 0.2500 0.6984  5 Ga 2.45-2.62
14 Ga 0.2500 0.2500 0.8425  5 Ga 2.45-2.62
15 Ga 0.4368 0.5632 0.9316  3 Ga 2.55-2.62
16 Ga 0.4368 0.9368 0.0684  3 Ga 2.55-2.62
17 Ga 0.4999 0.9999 0.3966  6 Ga 2.62-2.92, 2 Ag 2.71
18 Ga 0.5001 0.0001 0.6034  6 Ga 2.62-2.92, 2 Ag 2.71
19 Ga 0.5001 0.4999 0.3966  6 Ga 2.62-2.92, 2 Ag 2.71
20 Ga 0.4999 0.5001 0.6034  6 Ga 2.62-2.92, 2 Ag 2.71
21 Ga 0.5632 0.0632 0.9316  3 Ga 2.55-2.62
22 Ga 0.5632 0.4368 0.0684  3 Ga 2.55-2.62
23 Ga 0.7500 0.7500 0.1575  5 Ga 2.45-2.62
24 Ga 0.7500 0.7500 0.3016  5 Ga 2.45-2.62
25 Ga 0.7500 0.7500 0.6984  5 Ga 2.45-2.62
26 Ga 0.7500 0.7500 0.8425  5 Ga 2.45-2.62
27 Ga 0.9368 0.0632 0.0684  3 Ga 2.55-2.62
28 Ga 0.9368 0.4368 0.9316  3 Ga 2.55-2.62
29 Ag 0.2500 0.7500 0.5000  8 Ga 2.71
30 Ag 0.7500 0.2500 0.5000  8 Ga 2.71

Size of the total moment   0.0 μB per formula unit
Formation enthalpy at 0 K   -1.57 kcal/mol of atoms

[2]
VASP calculation (PBE-GGA) on an optimized crystal structure of ZrTaSb2.

Cell: 5.4209 5.4209 5.4209 Å, 138.57 121.55 74.16°
With the nearest neighbours (Å) after each atom.
Element x y z (fractional)
1 Zr 0.0000 0.0000 0.0000  4 Sb 2.95, 4 Ta 3.27
2 Ta 0.5000 0.5000 0.0000  4 Sb 2.83
3 Sb 0.2598 0.7598 0.5000  2 Ta 2.83, 2 Zr 2.95
4 Sb 0.7402 0.2402 0.5000  2 Ta 2.83, 2 Zr 2.95

Size of the total moment   0.0 μB per formula unit
E above lowest polymorph   26.6 kJ/mol of atoms

[3]
VASP calculation (PBE-GGA) on an optimized crystal structure of K2TlCd2Cl7.

Cell: 5.2733 5.2733 13.4763 Å, 101.27 101.27 90.00°
With the nearest neighbours (Å) after each atom.
Element x y z (fractional)
1 K 0.1752 0.1752 0.3588  5 Cl 3.09-3.39
2 K 0.8248 0.8248 0.6412  5 Cl 3.09-3.39
3 Tl 0.0000 0.0000 0.0000  12 Cl 3.64-3.73
4 Cd 0.3981 0.3981 0.7951  6 Cl 2.56-2.65
5 Cd 0.6019 0.6019 0.2049  6 Cl 2.56-2.65
6 Cl 0.0971 0.5953 0.1951  2 Cd 2.64
7 Cl 0.2965 0.2965 0.5978  1 Cd 2.56
8 Cl 0.4047 0.9029 0.8049  2 Cd 2.64
9 Cl 0.5000 0.5000 0.0000  2 Cd 2.65
10 Cl 0.5953 0.0971 0.1951  2 Cd 2.64
11 Cl 0.7035 0.7035 0.4022  1 Cd 2.56
12 Cl 0.9029 0.4047 0.8049  2 Cd 2.64

Size of the total moment   0.0 μB per formula unit
E   -0.109 Ha/atom